--- w ---
Below is a geometry-optimized CrMoPt2 structure, with properties calculated at the PBE-GGA level.

a = 4.8386 Å, b = 4.8386 Å, c = 4.8386 Å
α = 133.28°, β = 133.28°, γ = 68.22°
Fractional positions:
Pt: 0.5000 0.5000 0.0000
Pt: 0.0000 0.0000 0.0000
Mo: 0.7500 0.2500 0.5000
Cr: 0.2500 0.7500 0.5000

Calculated values
calculated volume	59.0	Å³/cell
Fermi-level density of states	4.228	states/eV/cell
mass density	15.15	g/cm³
space group	I4/mmm (139)



--- x ---
Below is a geometry-optimized CrMoPt2 structure, with properties calculated at the PBE-GGA level.

a = 4.7788 Å, b = 4.7788 Å, c = 4.7788 Å
α = 131.62°, β = 131.62°, γ = 70.83°
Fractional positions:
Pt: 0.7500 0.2500 0.5000
Pt: 0.0000 0.0000 0.0000
Cr: 0.5000 0.5000 0.0000
Mo: 0.2499 0.7499 0.5000

Calculated values
calculated volume	59.7	Å³/cell
Fermi-level density of states	4.597	states/eV/cell
mass density	14.96	g/cm³
space group	I-4m2 (119)



--- y ---
Below is a geometry-optimized CrMoPt2 structure, with properties calculated at the PBE-GGA level.

a = 2.7701 Å, b = 4.7666 Å, c = 5.5293 Å
α = 54.99°, β = 90.00°, γ = 90.00°
Fractional positions:
Pt: 0.0000 0.0000 0.0000
Pt: 0.5000 0.5000 0.0000
Cr: 0.5000 0.5000 0.5000
Mo: 0.0000 0.0000 0.5000

Calculated values
calculated volume	59.8	Å³/cell
Fermi-level density of states	4.344	states/eV/cell
mass density	14.94	g/cm³
space group	P2/m (10)



Of them, w has the highest stability.



--- w ---
Below is a geometry-optimized CrMoPt2 structure, with properties calculated at the PBE-GGA level.

a = 4.7479 Å, b = 4.7479 Å, c = 4.8529 Å
α = 80.26°, β = 80.26°, γ = 33.06°
Fractional positions:
Mo: 0.2428 0.2428 0.2430
Pt: 0.9964 0.9964 0.0123
Pt: 0.7587 0.7587 0.7261
Cr: 0.5021 0.5021 0.5186

Calculated values
calculated volume	58.7	Å³/cell
Fermi-level density of states	3.527	states/eV/cell
mass density	15.21	g/cm³
space group	Cm (8)



--- x ---
Below is a geometry-optimized CrMoPt2 structure, with properties calculated at the PBE-GGA level.

a = 4.4592 Å, b = 4.4592 Å, c = 4.4592 Å
α = 60.00°, β = 60.00°, γ = 60.00°
Fractional positions:
Pt: 0.7500 0.7500 0.7500
Pt: 0.2500 0.2500 0.2500
Cr: 0.0000 0.0000 0.0000
Mo: 0.5000 0.5000 0.5000

Calculated values
calculated volume	62.7	Å³/cell
Fermi-level density of states	4.684	states/eV/cell
mass density	14.25	g/cm³
space group	Fm-3m (225)



--- y ---
Below is a geometry-optimized CrMoPt2 structure, with properties calculated at the PBE-GGA level.

a = 3.2698 Å, b = 3.2698 Å, c = 5.6388 Å
α = 90.00°, β = 90.00°, γ = 90.00°
Fractional positions:
Pt: 0.5000 0.5000 0.2711
Pt: 0.0000 0.0000 0.9950
Cr: 0.0000 0.0000 0.4893
Mo: 0.5000 0.5000 0.7446

Calculated values
calculated volume	60.3	Å³/cell
Fermi-level density of states	4.608	states/eV/cell
mass density	14.82	g/cm³
space group	P4mm (99)



Of them, w has the highest stability.



--- w ---
Below is a geometry-optimized CrMoPt2 structure, with properties calculated at the PBE-GGA level.

a = 2.7046 Å, b = 2.7046 Å, c = 7.9895 Å
α = 90.00°, β = 90.00°, γ = 90.00°
Fractional positions:
Cr: 0.5000 0.5000 0.2500
Mo: 0.5000 0.5000 0.7500
Pt: 0.0000 0.0000 0.0131
Pt: 0.0000 0.0000 0.4869

Calculated values
calculated volume	58.4	Å³/cell
Fermi-level density of states	3.814	states/eV/cell
mass density	15.29	g/cm³
space group	P4/mmm (123)



--- x ---
Below is a geometry-optimized CrMoPt2 structure, with properties calculated at the PBE-GGA level.

a = 4.4023 Å, b = 2.7124 Å, c = 4.8812 Å
α = 89.99°, β = 90.00°, γ = 90.00°
Fractional positions:
Pt: 0.0000 0.1248 0.9598
Pt: 0.5000 0.1252 0.2966
Mo: 0.5000 0.6249 0.7830
Cr: 0.0000 0.6251 0.4606

Calculated values
calculated volume	58.3	Å³/cell
Fermi-level density of states	3.400	states/eV/cell
mass density	15.33	g/cm³
space group	Pmm2 (25)



--- y ---
Below is a geometry-optimized CrMoPt2 structure, with properties calculated at the PBE-GGA level.

a = 4.8015 Å, b = 4.8015 Å, c = 4.7733 Å
α = 80.03°, β = 80.03°, γ = 33.45°
Fractional positions:
Cr: 0.7500 0.7500 0.7500
Pt: 0.4960 0.4960 0.5033
Pt: 0.0040 0.0040 0.9967
Mo: 0.2500 0.2500 0.2500

Calculated values
calculated volume	59.7	Å³/cell
Fermi-level density of states	4.849	states/eV/cell
mass density	14.98	g/cm³
space group	C2/m (12)



--- z ---
Below is a geometry-optimized CrMoPt2 structure, with properties calculated at the PBE-GGA level.

a = 9.1381 Å, b = 9.1381 Å, c = 9.1381 Å
α = 17.34°, β = 17.34°, γ = 17.34°
Fractional positions:
Mo: 0.7500 0.7500 0.7500
Pt: 0.5033 0.5033 0.5033
Pt: 0.9967 0.9967 0.9967
Cr: 0.2500 0.2500 0.2500

Calculated values
calculated volume	59.1	Å³/cell
Fermi-level density of states	3.999	states/eV/cell
mass density	15.11	g/cm³
space group	R-3m (166)



Of them, x has the highest stability.



--- w ---
Below is a geometry-optimized RbCrMo3 structure, with properties calculated at the PBE-GGA level.

a = 4.7120 Å, b = 4.7120 Å, c = 4.7120 Å
α = 90.00°, β = 90.00°, γ = 90.00°
Fractional positions:
Mo: 0.0000 0.5000 0.0000
Mo: 0.0000 0.0000 0.5000
Mo: 0.5000 0.0000 0.0000
Rb: 0.5000 0.5000 0.5000
Cr: 0.0000 0.0000 0.0000

Calculated values
calculated volume	104.6	Å³/cell
Fermi-level density of states	7.006	states/eV/cell
mass density	6.75	g/cm³
space group	Pm-3m (221)



--- x ---
Below is a geometry-optimized RbCrMo3 structure, with properties calculated at the PBE-GGA level.

a = 4.6095 Å, b = 4.6095 Å, c = 4.6095 Å
α = 90.00°, β = 90.00°, γ = 90.00°
Fractional positions:
Mo: 0.5000 0.0000 0.0000
Mo: 0.0000 0.0000 0.5000
Mo: 0.0000 0.5000 0.0000
Rb: 0.0000 0.0000 0.0000
Cr: 0.5000 0.5000 0.5000

Calculated values
calculated volume	97.9	Å³/cell
Fermi-level density of states	6.045	states/eV/cell
mass density	7.21	g/cm³
space group	Pm-3m (221)



Of them, w has the highest stability.